VSbPd2 | GGA-PBE | relaxed

a b c (Å): 4.0254 4.0254 4.1158
angles (deg): 90.00 90.00 90.00
Space group P4/mmm (No. 123)
Inequivalent atoms, fractional coordinates:
V: 0.0000 0.0000 0.0000 (multiplicity 1)
Sb: 0.5000 0.5000 0.0000 (multiplicity 1)
Pd: 0.0000 0.5000 0.5000 (multiplicity 2)

Calculated values
Formation energy without anion corrections: -0.230 eV per atom
Theoretical density: 9.60 g cm⁻³